Density functional theory data (PBE+U) for a relaxed structure of PmNd2WO8.

Unit cell a=5.2186 b=7.0577 c=5.2187 alpha=90.00 beta=90.56 gamma=90.00
Space group P2/m (No. 10)
Inequivalent atoms, fractional coordinates:
Pm (0.0000, 0.0000, 0.0000)
Nd (0.5000, 0.2535, 0.5000)
W (0.0000, 0.5000, 0.0000)
O (0.1777, 0.2943, 0.8211)
O (0.2665, 0.5000, 0.2651)
O (0.3084, 0.0000, 0.3070)

Summary:
E_tot: -93.824 eV for the cell shown
M_tot: 0.99 Bohr magnetons per cell